DFT (PBE-GGA) results for an optimized crystal structure of PaAlFe.

Output
Raw total energy, eV/atom: -7.321
Space group: F-43m (216)
Volume, Å³ per atom: 19.2
Calculated density, kg/m³: 9032
Magnetic moment, μB/atom: 0.000

Lattice parameters (Å, degrees): 4.3375 4.3375 4.3375 60.00 60.00 60.00
Positions (direct):
Al (0.7500, 0.7500, 0.7500)
Fe (0.0000, 0.0000, 0.0000)
Pa (0.2500, 0.2500, 0.2500)


DFT (PBE-GGA) results for an optimized crystal structure of LiHfGaIr.

Output
Raw total energy, eV/atom: -6.340
Space group: F-43m (216)
Volume, Å³ per atom: 15.0
Calculated density, kg/m³: 12416
Magnetic moment, μB/atom: 0.000

Lattice parameters (Å, degrees): 4.3902 4.3902 4.3902 60.00 60.00 60.00
Positions (direct):
Ga (0.2500, 0.2500, 0.2500)
Hf (0.5000, 0.5000, 0.5000)
Ir (0.0000, 0.0000, 0.0000)
Li (0.7500, 0.7500, 0.7500)


DFT (PBE-GGA) results for an optimized crystal structure of SiAg2HgTe2Se2.

Output
Raw total energy, eV/atom: -3.257
Space group: Fmm2 (42)
Volume, Å³ per atom: 29.3
Calculated density, kg/m³: 6077

Lattice parameters (Å, degrees): 7.5563 7.5066 6.1813 66.19 65.35 48.45
Positions (direct):
Ag (0.2398, 0.2398, 0.2602)
Ag (0.7398, 0.7398, 0.7602)
Hg (0.0002, 0.0002, 0.9998)
Se (0.8417, 0.4027, 0.1583)
Se (0.4027, 0.8417, 0.5973)
Si (0.5129, 0.5129, 0.4871)
Te (0.1576, 0.6053, 0.3947)
Te (0.6053, 0.1576, 0.8424)


DFT (PBE-GGA) results for an optimized crystal structure of NdSb3Te.

Output
Raw total energy, eV/atom: -4.230
Space group: Imma (74)
Volume, Å³ per atom: 36.3
Calculated density, kg/m³: 5836
Magnetic moment, μB/atom: 0.001

Lattice parameters (Å, degrees): 8.5181 8.5181 8.5181 133.58 75.88 123.68
Positions (direct):
Nd (0.7139, 0.4639, 0.2500)
Nd (0.2861, 0.5361, 0.7500)
Sb (0.1142, 0.5000, 0.1142)
Sb (0.3117, 0.0617, 0.2500)
Sb (0.8858, 0.0000, 0.3858)
Sb (0.1142, 0.0000, 0.6142)
Sb (0.6883, 0.9383, 0.7500)
Sb (0.8858, 0.5000, 0.8858)
Te (0.0000, 0.0000, 0.0000)
Te (0.5000, 0.0000, 0.5000)